Computed, not measured: a relaxed structure of ZnP2S6 at the GGA-PBE level of DFT.

## Properties
Space-group type = C2/c (15)
Total magnetization = 0.0 μB/f.u.
Energy relative to the elements, uncorrected = -0.251 eV/atom
Total energy = -4.346 eV/atom

```
ZnP2S6
1.0
6.320 -6.364 0.000
6.320 6.364 0.000
-2.597 0.000 5.123
Zn P S
2 4 12
direct
0.215 0.785 0.750
0.785 0.215 0.250
0.196 0.364 0.697
0.364 0.196 0.197
0.636 0.804 0.803
0.804 0.636 0.303
0.020 0.192 0.587
0.155 0.582 0.891
0.192 0.020 0.087
0.289 0.406 0.422
0.406 0.289 0.922
0.418 0.845 0.609
0.582 0.155 0.391
0.594 0.711 0.078
0.711 0.594 0.578
0.808 0.980 0.913
0.845 0.418 0.109
0.980 0.808 0.413
```